1.
DFT (PBEsol) results for a relaxed structure of Ca2IrAu.

Values from the calculation:
For the size of the total moment, the calculation gives 0.00 μB/cell. For the density, the calculation gives 9119 kg/m3. The calculation puts the raw total energy at -18.6 eV per formula unit. The value obtained for the density of states at the Fermi level is 1.40 states/eV per cell. The space group is Pmm2, No. 25. The value obtained for the formation enthalpy at 0 K is -0.151 eV/atom.

Cell and atoms, written as POSCAR:
```
Ca2IrAu
1.0
-1.922 -0.467 2.495
0.271 -4.562 -0.644
4.623 -0.222 3.520
Au Ir Ca
1 1 2
direct
0.500 0.500 0.794
0.000 0.000 0.449
0.500 0.500 0.316
0.000 0.000 0.942
```

***

2.
DFT (PBEsol) results for a relaxed structure of Li2BPd2.

Values from the calculation:
For the size of the total moment, the calculation gives 0.00 μB/cell. For the density, the calculation gives 5951 kg/m3. The calculation puts the raw total energy at -24.8 eV per formula unit. The value obtained for the density of states at the Fermi level is 1.51 states/eV per cell. The space group is P4/mbm, No. 127. The value obtained for the formation enthalpy at 0 K is -0.383 eV/atom.

Cell and atoms, written as POSCAR:
```
Li2BPd2
1.0
4.327 0.000 0.000
0.000 5.535 0.000
0.000 0.000 5.535
Li Pd B
4 4 2
direct
0.500 0.665 0.835
0.500 0.335 0.165
0.500 0.835 0.335
0.500 0.165 0.665
0.000 0.834 0.666
0.000 0.666 0.166
0.000 0.166 0.334
0.000 0.334 0.834
0.000 0.500 0.500
0.000 0.000 0.000
```

***

3.
DFT (PBEsol) results for a relaxed structure of BSbP2O.

Values from the calculation:
For the size of the total moment, the calculation gives 0.00 μB/cell. For the density, the calculation gives 4626 kg/m3. The calculation puts the raw total energy at -27.7 eV per formula unit. The value obtained for the density of states at the Fermi level is 1.86 states/eV per cell. The space group is P4/mmm, No. 123.

Cell and atoms, written as POSCAR:
```
BSbP2O
1.0
-2.019 1.693 0.622
-1.897 -0.460 -4.909
-2.965 -4.097 1.529
P O B Sb
2 1 1 1
direct
0.000 0.500 0.000
0.000 0.000 0.500
0.500 0.000 0.000
0.000 0.000 0.000
0.500 0.500 0.500
```

***

4.
DFT (PBEsol) results for a relaxed structure of Si3Ru2.

Values from the calculation:
For the size of the total moment, the calculation gives 0.00 μB/cell. For the density, the calculation gives 7011 kg/m3. The calculation puts the raw total energy at -41.0 eV per formula unit. The space group is Pbcn, No. 60.

Cell and atoms, written as POSCAR:
```
Si3Ru2
1.0
5.514 0.000 0.000
0.000 8.933 0.000
0.000 0.000 11.017
Ru Si
16 24
direct
0.765 0.187 0.246
0.750 0.575 0.000
0.735 0.687 0.746
0.750 0.541 0.500
0.235 0.813 0.754
0.765 0.687 0.254
0.750 0.075 0.500
0.265 0.813 0.246
0.750 0.041 0.000
0.265 0.313 0.254
0.250 0.925 0.500
0.250 0.459 0.500
0.250 0.959 0.000
0.250 0.425 0.000
0.235 0.313 0.746
0.735 0.187 0.754
0.056 0.707 0.427
0.414 0.063 0.180
0.914 0.937 0.180
0.944 0.293 0.573
0.586 0.937 0.820
0.394 0.107 0.630
0.606 0.893 0.370
0.106 0.107 0.370
0.106 0.607 0.130
0.556 0.793 0.073
0.606 0.393 0.130
0.086 0.563 0.680
0.894 0.393 0.870
0.394 0.607 0.870
0.444 0.707 0.573
0.414 0.563 0.320
0.944 0.793 0.927
0.086 0.063 0.820
0.586 0.437 0.680
0.056 0.207 0.073
0.556 0.293 0.427
0.894 0.893 0.630
0.444 0.207 0.927
0.914 0.437 0.320
```